Entry 1:
# GGA-PBE Ni3As, relaxed
# - Calculated total energy: -5.57 eV/atom
# - ΔE_f: -7 kJ per mole of atoms
data_Ni3As
_chemical_formula_sum 'Ni6 As2'
_cell_length_a 4.550
_cell_length_b 4.550
_cell_length_c 4.550
_cell_angle_alpha 90.00
_cell_angle_beta 90.00
_cell_angle_gamma 90.00
_space_group_name_H-M_alt 'P m -3 n'
_space_group_IT_number 223
_space_group_name_Hall '-P 4n 2 3'
loop_
_atom_site_label
_atom_site_fract_x
_atom_site_fract_y
_atom_site_fract_z
Ni1 0.000 0.250 0.500
As1 0.000 0.000 0.000



Entry 2:
# GGA-PBE Ni4As3, relaxed
# - Calculated total energy: -4.79 eV/atom
# - ΔE_f: 49 kJ per mole of atoms
# - Polymorph energy (0 for the lowest one): 655 meV per atom
data_Ni4As3
_chemical_formula_sum 'Ni4 As3'
_cell_length_a 5.2243
_cell_length_b 5.2243
_cell_length_c 4.3892
_cell_angle_alpha 90.00
_cell_angle_beta 90.00
_cell_angle_gamma 120.00
_space_group_name_H-M_alt 'P 6/m m m'
_space_group_IT_number 191
_space_group_name_Hall '-P 6 2'
loop_
_atom_site_label
_atom_site_fract_x
_atom_site_fract_y
_atom_site_fract_z
Ni1 0.0000 0.0000 0.2459
Ni2 0.3333 0.6667 0.0000
As1 0.0000 0.5000 0.5000



Entry 3:
# GGA-PBE Ni2As, relaxed
# - Calculated total energy: -5.31 eV/atom
# - ΔE_f: 9 kJ per mole of atoms
data_Ni2As
_chemical_formula_sum 'Ni8 As4'
_cell_length_a 2.972
_cell_length_b 2.972
_cell_length_c 18.245
_cell_angle_alpha 90.00
_cell_angle_beta 90.00
_cell_angle_gamma 90.00
_space_group_name_H-M_alt 'I 41/a m d'
_space_group_IT_number 141
loop_
_space_group_symop_operation_xyz
'x,y,z'
'-x,-y,-z'
'-y+1/4,x+3/4,z+1/4'
'y+1/4,-x+3/4,-z+1/4'
'-x+1/2,-y,z+1/2'
'x+1/2,y,-z+1/2'
'y+1/4,-x+1/4,z+3/4'
'-y+1/4,x+1/4,-z+3/4'
'x,-y,-z'
'-x,y,z'
'-y+1/4,-x+1/4,-z+3/4'
'y+1/4,x+1/4,z+3/4'
'-x+1/2,y,-z+1/2'
'x+1/2,-y,z+1/2'
'y+1/4,x+3/4,-z+1/4'
'-y+1/4,-x+3/4,z+1/4'
'x+1/2,y+1/2,z+1/2'
'-x+1/2,-y+1/2,-z+1/2'
'-y+3/4,x+1/4,z+3/4'
'y+3/4,-x+1/4,-z+3/4'
'-x,-y+1/2,z'
'x,y+1/2,-z'
'y+3/4,-x+3/4,z+1/4'
'-y+3/4,x+3/4,-z+1/4'
'x+1/2,-y+1/2,-z+1/2'
'-x+1/2,y+1/2,z+1/2'
'-y+3/4,-x+3/4,-z+1/4'
'y+3/4,x+3/4,z+1/4'
'-x,y+1/2,-z'
'x,-y+1/2,z'
'y+3/4,x+1/4,-z+3/4'
'-y+3/4,-x+1/4,z+3/4'
loop_
_atom_site_label
_atom_site_fract_x
_atom_site_fract_y
_atom_site_fract_z
Ni1 0.000 0.250 0.305
As1 0.000 0.250 0.875



- ΔE_f of number 2 (Ni4As3)?
  49 kJ per mole of atoms